No. 1
## Cs3K4Bi2 (PBE)

Data for an optimized crystal structure of Cs3K4Bi2.

Calculated values
Formation energy in eV per atom: -0.283

a b c (Å): 8.249 8.249 11.016
angles (deg): 107.51 107.51 45.95
Positions (direct):
Cs 0.000 0.000 0.000
Cs 0.472 0.472 0.685
Cs 0.528 0.528 0.315
K 0.183 0.183 0.552
K 0.273 0.273 0.920
K 0.727 0.727 0.080
K 0.817 0.817 0.448
Bi 0.258 0.258 0.265
Bi 0.742 0.742 0.735



No. 2
## Nb2NiPd9 (PBE)

Data for an optimized crystal structure of Nb2NiPd9.

Calculated values
Formation energy in eV per atom: -0.287

a b c (Å): 3.959 3.959 11.776
angles (deg): 90.00 90.00 90.00
Positions (direct):
Nb 0.000 0.000 0.178
Nb 0.000 0.000 0.822
Ni 0.000 0.000 0.500
Pd 0.000 0.500 0.000
Pd 0.000 0.500 0.334
Pd 0.000 0.500 0.666
Pd 0.500 0.000 0.000
Pd 0.500 0.000 0.334
Pd 0.500 0.000 0.666
Pd 0.500 0.500 0.166
Pd 0.500 0.500 0.500
Pd 0.500 0.500 0.834



No. 3
## Ho3TePtCl (PBE)

Data for an optimized crystal structure of Ho3TePtCl.

Calculated values
Raw formation energy in meV/atom: -1271

a b c (Å): 8.506 4.113 9.726
angles (deg): 90.00 96.15 90.00
Positions (direct):
Ho 0.130 0.250 0.319
Ho 0.147 0.250 0.903
Ho 0.309 0.750 0.620
Ho 0.691 0.250 0.380
Ho 0.853 0.750 0.097
Ho 0.870 0.750 0.681
Te 0.407 0.750 0.317
Te 0.593 0.250 0.683
Pt 0.075 0.250 0.612
Pt 0.925 0.750 0.388
Cl 0.352 0.750 0.915
Cl 0.648 0.250 0.085



No. 4
## LiTb3Ga (PBE)

Data for an optimized crystal structure of LiTb3Ga.

Calculated values
Formation energy in eV per atom: -0.147

a b c (Å): 7.854 6.585 10.533
angles (deg): 90.00 105.87 90.00
Positions (direct):
Li 0.047 0.212 0.022
Li 0.047 0.288 0.522
Li 0.953 0.712 0.478
Li 0.953 0.788 0.978
Tb 0.190 0.522 0.265
Tb 0.190 0.978 0.765
Tb 0.257 0.027 0.352
Tb 0.257 0.473 0.852
Tb 0.388 0.673 0.591
Tb 0.388 0.827 0.091
Tb 0.612 0.173 0.909
Tb 0.612 0.327 0.409
Tb 0.743 0.527 0.148
Tb 0.743 0.973 0.648
Tb 0.810 0.022 0.235
Tb 0.810 0.478 0.735
Ga 0.413 0.220 0.620
Ga 0.413 0.280 0.120
Ga 0.587 0.720 0.880
Ga 0.587 0.780 0.380



No. 5
## Ho4ZrAl5 (PBE)

Data for an optimized crystal structure of Ho4ZrAl5.

Calculated values
Formation energy in eV per atom: -0.377

a b c (Å): 3.591 3.591 17.272
angles (deg): 90.00 90.00 90.00
Positions (direct):
Ho 0.000 0.000 0.103
Ho 0.000 0.000 0.309
Ho 0.000 0.000 0.691
Ho 0.000 0.000 0.897
Zr 0.000 0.000 0.500
Al 0.500 0.500 0.000
Al 0.500 0.500 0.206
Al 0.500 0.500 0.417
Al 0.500 0.500 0.583
Al 0.500 0.500 0.794



No. 6
## BaSrLiRh (PBE)

Data for an optimized crystal structure of BaSrLiRh.

Calculated values
Formation energy in eV per atom: -0.165

a b c (Å): 4.455 4.455 8.328
angles (deg): 105.62 105.62 60.02
Positions (direct):
Ba 0.000 0.000 0.000
Sr 0.169 0.169 0.504
Li 0.755 0.755 0.265
Rh 0.419 0.419 0.257



No. 7
## La2Tb6Ho3Tm (PBE)

Data for an optimized crystal structure of La2Tb6Ho3Tm.

Calculated values
Formation energy in eV per atom: 0.021

a b c (Å): 6.197 6.197 11.865
angles (deg): 94.99 94.99 120.00
Positions (direct):
La 0.166 0.834 0.000
La 0.834 0.166 0.000
Tb 0.083 0.415 0.746
Tb 0.253 0.253 0.255
Tb 0.415 0.083 0.746
Tb 0.585 0.917 0.254
Tb 0.747 0.747 0.745
Tb 0.917 0.585 0.254
Ho 0.000 0.000 0.500
Ho 0.334 0.666 0.500
Ho 0.666 0.334 0.500
Tm 0.500 0.500 0.000



No. 8
## CsIr4Se8 (PBE)

Data for an optimized crystal structure of CsIr4Se8.

Calculated values
Raw formation energy in meV/atom: -379

a b c (Å): 9.520 9.520 9.520
angles (deg): 46.43 46.43 46.43
Positions (direct):
Cs 0.000 0.000 0.000
Ir 0.000 0.000 0.500
Ir 0.000 0.500 0.000
Ir 0.500 0.000 0.000
Ir 0.500 0.500 0.500
Se 0.217 0.217 0.217
Se 0.218 0.716 0.716
Se 0.284 0.284 0.782
Se 0.284 0.782 0.284
Se 0.716 0.218 0.716
Se 0.716 0.716 0.218
Se 0.782 0.284 0.284
Se 0.783 0.783 0.783



No. 9
## ZrTeMo (PBE)

Data for an optimized crystal structure of ZrTeMo.

Calculated values
Raw formation energy in meV/atom: 131

a b c (Å): 3.427 3.427 6.374
angles (deg): 90.00 90.00 120.00
Positions (direct):
Zr 0.000 0.000 0.000
Te 0.333 0.667 0.626
Mo 0.667 0.333 0.310



No. 10
## Sm2LuRu (PBE)

Data for an optimized crystal structure of Sm2LuRu.

Calculated values
Formation energy in eV per atom: -0.066

a b c (Å): 3.478 3.478 8.965
angles (deg): 90.00 90.00 90.00
Positions (direct):
Sm 0.000 0.000 0.190
Sm 0.000 0.000 0.810
Lu 0.500 0.500 0.500
Ru 0.500 0.500 0.000



No. 11
## EuThNiPd (PBE)

Data for an optimized crystal structure of EuThNiPd.

Calculated values
Formation energy in eV per atom: -0.392

a b c (Å): 5.038 5.038 5.038
angles (deg): 60.00 60.00 60.00
Positions (direct):
Eu 0.000 0.000 0.000
Th 0.500 0.500 0.500
Ni 0.250 0.250 0.250
Pd 0.750 0.750 0.750



No. 12
## V7S8 (PBE)

Data for an optimized crystal structure of V7S8.

Calculated values
Raw formation energy in meV/atom: -927

a b c (Å): 6.523 6.587 6.731
angles (deg): 61.17 75.82 60.46
Positions (direct):
V 0.000 0.000 0.000
V 0.000 0.500 0.000
V 0.012 0.193 0.505
V 0.469 0.797 0.491
V 0.500 0.500 0.000
V 0.531 0.203 0.509
V 0.988 0.807 0.495
S 0.168 0.530 0.269
S 0.181 0.048 0.226
S 0.332 0.469 0.734
S 0.334 0.959 0.759
S 0.666 0.041 0.241
S 0.668 0.531 0.266
S 0.819 0.952 0.774
S 0.832 0.470 0.731



No. 13
## PmSmCu2 (PBE)

Data for an optimized crystal structure of PmSmCu2.

Calculated values
Formation energy in eV per atom: -0.174

a b c (Å): 3.555 3.555 7.112
angles (deg): 90.00 90.00 90.00
Positions (direct):
Pm 0.000 0.000 0.000
Sm 0.000 0.000 0.500
Cu 0.500 0.500 0.255
Cu 0.500 0.500 0.745



No. 14
## Hg12Te5P3 (PBE)

Data for an optimized crystal structure of Hg12Te5P3.

Calculated values
Raw formation energy in meV/atom: 188

a b c (Å): 14.617 14.617 14.617
angles (deg): 109.47 109.47 109.47
Positions (direct):
Hg 0.058 0.631 0.383
Hg 0.058 0.927 0.674
Hg 0.073 0.247 0.131
Hg 0.073 0.326 0.942
Hg 0.117 0.747 0.674
Hg 0.117 0.869 0.442
Hg 0.131 0.073 0.247
Hg 0.131 0.558 0.883
Hg 0.174 0.247 0.617
Hg 0.174 0.427 0.558
Hg 0.247 0.131 0.073
Hg 0.247 0.617 0.174
Hg 0.253 0.326 0.883
Hg 0.253 0.427 0.369
Hg 0.326 0.883 0.253
Hg 0.326 0.942 0.073
Hg 0.369 0.253 0.427
Hg 0.369 0.617 0.942
Hg 0.383 0.058 0.631
Hg 0.383 0.826 0.753
Hg 0.427 0.369 0.253
Hg 0.427 0.558 0.174
Hg 0.442 0.117 0.869
Hg 0.442 0.826 0.573
Hg 0.558 0.174 0.427
Hg 0.558 0.883 0.131
Hg 0.573 0.442 0.826
Hg 0.573 0.631 0.747
Hg 0.617 0.174 0.247
Hg 0.617 0.942 0.369
Hg 0.631 0.383 0.058
Hg 0.631 0.747 0.573
Hg 0.674 0.058 0.927
Hg 0.674 0.117 0.747
Hg 0.747 0.573 0.631
Hg 0.747 0.674 0.117
Hg 0.753 0.383 0.826
Hg 0.753 0.869 0.927
Hg 0.826 0.573 0.442
Hg 0.826 0.753 0.383
Hg 0.869 0.442 0.117
Hg 0.869 0.927 0.753
Hg 0.883 0.131 0.558
Hg 0.883 0.253 0.326
Hg 0.927 0.674 0.058
Hg 0.927 0.753 0.869
Hg 0.942 0.073 0.326
Hg 0.942 0.369 0.617
Te 0.000 0.000 0.000
Te 0.000 0.000 0.500
Te 0.000 0.500 0.000
Te 0.000 0.500 0.500
Te 0.125 0.750 0.875
Te 0.125 0.875 0.250
Te 0.250 0.125 0.875
Te 0.250 0.625 0.375
Te 0.375 0.250 0.625
Te 0.375 0.625 0.750
Te 0.500 0.000 0.000
Te 0.500 0.000 0.500
Te 0.500 0.500 0.000
Te 0.500 0.500 0.500
Te 0.625 0.375 0.250
Te 0.625 0.750 0.375
Te 0.750 0.375 0.625
Te 0.750 0.875 0.125
Te 0.875 0.125 0.750
Te 0.875 0.250 0.125
P 0.125 0.250 0.375
P 0.125 0.375 0.750
P 0.250 0.375 0.125
P 0.250 0.875 0.625
P 0.375 0.125 0.250
P 0.375 0.750 0.125
P 0.625 0.250 0.875
P 0.625 0.875 0.750
P 0.750 0.125 0.375
P 0.750 0.625 0.875
P 0.875 0.625 0.250
P 0.875 0.750 0.625



No. 15
## SrAlFe (PBE)

Data for an optimized crystal structure of SrAlFe.

Calculated values
Formation energy in eV per atom: 0.200

a b c (Å): 6.176 6.176 6.176
angles (deg): 148.06 148.06 45.80
Positions (direct):
Sr 0.000 0.000 0.000
Al 0.725 0.725 0.000
Fe 0.289 0.289 0.000



No. 16
## SmCoPt (PBE)

Data for an optimized crystal structure of SmCoPt.

Calculated values
Formation energy in eV per atom: -0.287

a b c (Å): 3.463 3.463 9.415
angles (deg): 90.00 90.00 90.00
Positions (direct):
Sm 0.000 0.000 0.182
Sm 0.000 0.000 0.818
Co 0.000 0.000 0.500
Co 0.500 0.500 0.000
Pt 0.500 0.500 0.359
Pt 0.500 0.500 0.641



No. 17
## Tb4Nd2HoMg (PBE)

Data for an optimized crystal structure of Tb4Nd2HoMg.

Calculated values
Formation energy in eV per atom: 0.025

a b c (Å): 4.995 4.995 10.152
angles (deg): 90.00 90.00 90.00
Positions (direct):
Tb 0.000 0.500 0.249
Tb 0.000 0.500 0.751
Tb 0.500 0.000 0.249
Tb 0.500 0.000 0.751
Nd 0.000 0.000 0.000
Nd 0.500 0.500 0.500
Ho 0.000 0.000 0.500
Mg 0.500 0.500 0.000



No. 18
## InAuBr2 (PBE)

Data for an optimized crystal structure of InAuBr2.

Calculated values
Raw formation energy in meV/atom: -101

a b c (Å): 3.649 3.649 8.162
angles (deg): 90.00 90.00 90.00
Positions (direct):
In 0.000 0.000 0.000
Au 0.500 0.500 0.219
Br 0.000 0.000 0.403
Br 0.500 0.500 0.793



No. 19
## Al2RhAu (PBE)

Data for an optimized crystal structure of Al2RhAu.

Calculated values
Formation energy in eV per atom: -0.517

a b c (Å): 8.213 8.213 8.213
angles (deg): 21.12 21.12 21.12
Positions (direct):
Al 0.000 0.000 0.000
Al 0.180 0.180 0.180
Rh 0.591 0.591 0.591
Au 0.756 0.756 0.756



No. 20
## LaThCdGa (PBE)

Data for an optimized crystal structure of LaThCdGa.

Calculated values
Formation energy in eV per atom: -0.307

a b c (Å): 5.385 5.385 5.385
angles (deg): 60.00 60.00 60.00
Positions (direct):
La 0.000 0.000 0.000
Th 0.500 0.500 0.500
Cd 0.750 0.750 0.750
Ga 0.250 0.250 0.250



Number 1: calculated density 3.17 g/cm³, calculated total energy -17.262 eV for the cell shown, Fermi-level density of states 2.6 states/eV per cell. Number 2: calculated density 10.82 g/cm³, calculated total energy -76.094 eV for the cell shown, Fermi-level density of states 9.3 states/eV per cell. Number 3: calculated density 8.37 g/cm³, calculated total energy -64.774 eV for the cell shown, Fermi-level density of states 7.2 states/eV per cell. Number 4: calculated density 7.01 g/cm³, calculated total energy -78.271 eV for the cell shown, Fermi-level density of states 18.3 states/eV per cell. Number 5: calculated density 6.60 g/cm³, calculated total energy -49.340 eV for the cell shown, Fermi-level density of states 6.2 states/eV per cell. Number 6: calculated density 4.09 g/cm³, calculated total energy -13.532 eV for the cell shown, Fermi-level density of states 1.4 states/eV per cell. Number 7: calculated density 8.10 g/cm³, calculated total energy -55.585 eV for the cell shown, Fermi-level density of states 16.2 states/eV per cell. Number 8: calculated density 6.16 g/cm³, calculated total energy -69.101 eV for the cell shown, Fermi-level density of states 21.1 states/eV per cell. Number 9: calculated density 8.06 g/cm³, calculated total energy -22.129 eV for the cell shown, Fermi-level density of states 3.1 states/eV per cell. Number 10: calculated density 8.83 g/cm³, calculated total energy -23.501 eV for the cell shown, Fermi-level density of states 5.3 states/eV per cell. Number 11: calculated density 10.09 g/cm³, calculated total energy -30.236 eV for the cell shown, Fermi-level density of states 6.8 states/eV per cell. Number 12: calculated density 4.62 g/cm³, calculated total energy -110.752 eV for the cell shown, Fermi-level density of states 8.5 states/eV per cell. Number 13: calculated density 7.80 g/cm³, calculated total energy -18.357 eV for the cell shown, Fermi-level density of states 2.6 states/eV per cell. Number 14: calculated density 8.67 g/cm³, calculated total energy -127.233 eV for the cell shown, Fermi-level density of states 48.3 states/eV per cell. Number 15: calculated density 4.31 g/cm³, calculated total energy -13.288 eV for the cell shown, Fermi-level density of states 2.9 states/eV per cell. Number 16: calculated density 11.89 g/cm³, calculated total energy -37.452 eV for the cell shown, Fermi-level density of states 6.1 states/eV per cell. Number 17: calculated density 7.30 g/cm³, calculated total energy -34.027 eV for the cell shown, Fermi-level density of states 12.3 states/eV per cell. Number 18: calculated density 7.20 g/cm³, calculated total energy -9.765 eV for the cell shown, Fermi-level density of states 1.6 states/eV per cell. Number 19: calculated density 9.32 g/cm³, calculated total energy -20.180 eV for the cell shown, Fermi-level density of states 3.1 states/eV per cell. Number 20: calculated density 8.32 g/cm³, calculated total energy -17.515 eV for the cell shown, Fermi-level density of states 3.9 states/eV per cell.